## Li3YC (PBE-GGA)

Data for a relaxed structure of Li3YC.

Lattice parameters (Å, degrees): 4.166 4.166 4.166 90.00 90.00 90.00
Fractional coordinates of all 5 atoms:
C 0.000 0.000 0.000
Li 0.000 0.500 0.000
Li 0.000 0.000 0.500
Li 0.500 0.000 0.000
Y 0.500 0.500 0.500

Output
VASP energy, eV/atom: -3.824
Calculated density, Mg/m³: 2.80
E_form, eV per atom: 0.462
Space-group type: Pm-3m
Energy above the lowest structure with this stoichiometry, meV per atom: 0.0